14
Lattice="5.829 0.000 -0.857 0.000 5.859 0.000 -3.300 0.000 7.894" Properties=species:S:1:pos:R:3 comment="GGA+U NaTlFeF4, optimized geometry" mass_density_g_cm3=4.71 final_energy_ev_per_atom=-4.674 spacegroup=P2_1/m pbc="T T T"
Na -0.509 1.465 4.009
F 4.413 2.980 1.629
Tl 2.504 1.465 0.636
Na 3.039 4.394 3.028
F 4.413 5.809 1.629
F 1.595 1.465 3.019
F 0.979 1.465 5.892
Fe -0.040 4.394 2.237
F -1.883 0.050 5.408
F -1.883 2.879 5.408
Fe 2.569 1.465 4.800
F 1.550 4.394 1.145
Tl 0.025 4.394 6.400
F 0.935 4.394 4.018